(1)
## BaSiNi2 (GGA-PBEsol)

Data for a geometry-optimized BaSiNi2 structure.

Computed properties:
DOS(E_F)	3.0	states/eV per cell
formation energy from raw total energies	-35.7	kJ/mol of atoms
space group	No. 8

a b c (Å): 3.9834 4.0120 5.9008
angles (deg): 103.09 90.00 119.76
With the nearest neighbours (Å) after each atom.
Fractional coordinates of all 4 atoms:
Ni: 0.9193 0.8386 0.8132  3 Si 2.35-2.41, 3 Ni 2.40
Ni: 0.2263 0.4526 0.7010  3 Si 2.30-2.32, 3 Ni 2.40
Si: 0.5606 0.1212 0.7182  6 Ni 2.30-2.41
Ba: 0.7938 0.5876 0.2676  4 Ni 3.03-3.37, 1 Si 3.23

---

(2)
## AlCrIn2 (GGA-PBEsol)

Data for a geometry-optimized AlCrIn2 structure.

Computed properties:
formation energy	208	meV/atom
DOS(E_F)	1.9	states/eV per cell
space group	No. 99

a b c (Å): 2.9976 2.9976 8.5259
angles (deg): 90.00 90.00 90.00
With the nearest neighbours (Å) after each atom.
Fractional coordinates of all 4 atoms:
Cr: 0.5000 0.5000 0.7287  4 Al 2.59, 4 In 2.82
Al: 0.0000 0.0000 0.5549  4 Cr 2.59
In: 0.0000 0.0000 0.9460  4 Cr 2.82, 4 In 3.00
In: 0.5000 0.5000 0.2704  4 In 3.00, 4 Al 3.22

---

(3)
## ThBi2 (GGA-PBEsol)

Data for a geometry-optimized ThBi2 structure.

Computed properties:
formation energy	-565	meV/atom
DOS(E_F)	2.4	states/eV per cell
space group	No. 129

a b c (Å): 4.5046 4.5046 9.1880
angles (deg): 90.00 90.00 90.00
With the nearest neighbours (Å) after each atom.
Fractional coordinates of all 6 atoms:
Bi: 0.5000 0.5000 0.0000  4 Bi 3.19, 4 Th 3.41
Bi: 0.0000 0.5000 0.3604  5 Th 3.27-3.31
Bi: 0.5000 0.0000 0.6396  5 Th 3.27-3.31
Bi: 0.0000 0.0000 0.0000  4 Bi 3.19, 4 Th 3.41
Th: 0.0000 0.5000 0.7208  9 Bi 3.27-3.41
Th: 0.5000 0.0000 0.2792  9 Bi 3.27-3.41

---

(4)
## YCdRh (GGA-PBEsol)

Data for a geometry-optimized YCdRh structure.

Computed properties:
formation energy	30	meV/atom
DOS(E_F)	1.9	states/eV per cell
space group	No. 216

a b c (Å): 4.5778 4.5778 4.5778
angles (deg): 60.00 60.00 60.00
With the nearest neighbours (Å) after each atom.
Fractional coordinates of all 3 atoms:
Cd: 0.2500 0.2500 0.2500  4 Rh 2.80, 4 Y 2.80
Rh: 0.0000 0.0000 0.0000  4 Cd 2.80
Y: 0.5000 0.5000 0.5000  4 Cd 2.80